VASP calculation (GGA-PBEsol) on a geometry-optimized Ba3TaBi structure.

Cell: 5.8592 5.8592 5.8592 Å, 90.00 90.00 90.00°
Fractional coordinates of all 5 atoms:
Ba (0.0000, 0.0000, 0.5000)
Ba (0.0000, 0.5000, 0.0000)
Ba (0.5000, 0.0000, 0.0000)
Ta (0.0000, 0.0000, 0.0000)
Bi (0.5000, 0.5000, 0.5000)

The calculation puts the formation energy at 604 meV/atom. The calculation puts the total moment at 0.001 μB/f.u. As for the crystal system: cubic.

---

VASP calculation (GGA-PBEsol) on a geometry-optimized RbZnSb2Cl structure.

Cell: 7.5410 7.5410 5.8897 Å, 90.00 90.00 90.00°
Fractional coordinates of all 5 atoms:
Rb (0.0000, 0.0000, 0.0000)
Zn (0.5000, 0.5000, 0.5000)
Sb (0.0000, 0.5000, 0.0000)
Sb (0.5000, 0.0000, 0.0000)
Cl (0.0000, 0.0000, 0.5000)

Its uncorrected formation energy is 0.93 eV/atom. The calculation puts the total moment at 5.997 μB/f.u. As for the crystal system: tetragonal.